An optimized crystal structure of MgAgI3, computed with GGA-PBE.

## Properties
* energy relative to the lowest polymorph listed for this composition: 0 meV/atom

Cell: 7.545 7.545 7.728 Å, 90.00 90.00 120.00°
Sites, in units of the cell vectors:
Mg1 0.333 0.667 0.000
Mg2 0.667 0.333 0.000
Ag1 0.000 0.000 0.195
Ag2 0.000 0.000 0.805
I1 0.000 0.367 0.775
I2 0.000 0.633 0.225
I3 0.367 0.000 0.775
I4 0.367 0.367 0.225
I5 0.633 0.000 0.225
I6 0.633 0.633 0.775


An optimized crystal structure of MgAgI3, computed with GGA-PBE.

## Properties
* energy relative to the lowest polymorph listed for this composition: 142 meV/atom

Cell: 7.635 7.635 8.614 Å, 90.00 90.00 120.00°
Sites, in units of the cell vectors:
Mg1 0.000 0.000 0.219
Mg2 0.000 0.000 0.781
Ag1 0.333 0.667 0.000
Ag2 0.667 0.333 0.000
I1 0.000 0.350 0.785
I2 0.000 0.650 0.215
I3 0.350 0.000 0.785
I4 0.350 0.350 0.215
I5 0.650 0.000 0.215
I6 0.650 0.650 0.785


An optimized crystal structure of MgMnAgI2, computed with GGA-PBE.

## Properties
* VASP energy: -2.8367 eV per atom

Cell: 5.675 5.675 5.554 Å, 90.00 90.00 90.00°
Sites, in units of the cell vectors:
Mg1 0.000 0.000 0.000
Mn1 0.000 0.000 0.500
Ag1 0.500 0.500 0.500
I1 0.000 0.500 0.000
I2 0.500 0.000 0.000


An optimized crystal structure of Mg2AgIN, computed with GGA-PBE.

## Properties
* VASP energy: -1.4789 eV per atom

Cell: 5.615 5.615 5.259 Å, 90.00 90.00 90.00°
Sites, in units of the cell vectors:
Mg1 0.000 0.500 0.000
Mg2 0.500 0.000 0.000
Ag1 0.000 0.000 0.500
I1 0.000 0.000 0.000
N1 0.500 0.500 0.500


An optimized crystal structure of MgAgIN2, computed with GGA-PBE.

## Properties
* energy relative to the lowest polymorph listed for this composition: 351 meV/atom

Cell: 4.164 4.164 6.932 Å, 90.00 90.00 90.00°
Sites, in units of the cell vectors:
Mg1 0.000 0.000 0.000
Ag1 0.500 0.500 0.500
I1 0.500 0.500 0.000
N1 0.000 0.500 0.500
N2 0.500 0.000 0.500


An optimized crystal structure of MgAgIN2, computed with GGA-PBE.

## Properties
* energy relative to the lowest polymorph listed for this composition: 0 meV/atom

Cell: 4.239 4.239 6.258 Å, 90.00 90.00 90.00°
Sites, in units of the cell vectors:
Mg1 0.000 0.000 0.000
Ag1 0.500 0.500 0.500
I1 0.000 0.000 0.500
N1 0.000 0.500 0.000
N2 0.500 0.000 0.000


An optimized crystal structure of MgAgI2N, computed with GGA-PBE.

## Properties
* energy relative to the lowest polymorph listed for this composition: 337 meV/atom

Cell: 5.892 5.892 4.095 Å, 90.00 90.00 90.00°
Sites, in units of the cell vectors:
Mg1 0.000 0.000 0.000
Ag1 0.500 0.500 0.500
I1 0.000 0.500 0.500
I2 0.500 0.000 0.500
N1 0.500 0.500 0.000


An optimized crystal structure of MgAgI2N, computed with GGA-PBE.

## Properties
* energy relative to the lowest polymorph listed for this composition: 0 meV/atom

Cell: 5.850 5.850 4.099 Å, 90.00 90.00 90.00°
Sites, in units of the cell vectors:
Mg1 0.000 0.000 0.000
Ag1 0.500 0.500 0.500
I1 0.000 0.500 0.000
I2 0.500 0.000 0.000
N1 0.000 0.000 0.500